# Li2Ni3WO8

An optimized crystal structure of Li2Ni3WO8 (PBE+U, the Alexandria database).

a = 5.8669 Å, b = 10.1936 Å, c = 9.6149 Å
α = 90.00°, β = 90.73°, γ = 90.00°
Space group Cc (No. 9)
Asymmetric unit:
Li 0.0000 0.0013 0.0000
Li 0.4912 0.1622 0.5820
Ni 0.2379 0.4170 0.7751
Ni 0.2455 0.0867 0.2743
Ni 0.4990 0.3303 0.2759
W 0.0003 0.3271 0.5032
O 0.0020 0.0044 0.6902
O 0.0067 0.1667 0.3962
O 0.2224 0.2596 0.6363
O 0.2275 0.4188 0.4071
O 0.2377 0.0991 0.9019
O 0.2809 0.2561 0.1424
O 0.4682 0.0227 0.1413
O 0.4833 0.1707 0.3717

Output
Energy above the lowest structure with this stoichiometry (eV per atom): 0.000
DFT total energy (eV per atom): -5.64